Entry 1:
The following is a DFT calculation (PBE) of a relaxed structure of Ag2Au2Br7.

Cell lengths 7.3199, 7.3199, 15.1266 Å; angles 103.62, 103.62, 89.10 degrees
Last column: nearest neighbours and their distance in Å.
Positions (direct):
Au 0.8778 0.9865 0.3109  3 Br 2.47-2.58, 1 Au 2.67
Au 0.9865 0.8778 0.8109  3 Br 2.47-2.58, 1 Au 2.67
Au 0.1222 0.0135 0.6891  3 Br 2.47-2.58, 1 Au 2.67
Au 0.0135 0.1222 0.1891  3 Br 2.47-2.58, 1 Au 2.67
Br 0.3666 0.3614 0.3838  2 Ag 2.64-2.66
Br 0.0726 0.7148 0.3338  1 Au 2.47, 1 Ag 2.68
Br 0.9399 0.6896 0.9287  1 Au 2.58, 1 Ag 2.67
Br 0.2600 0.7400 0.7500  2 Au 2.50
Br 0.7148 0.0726 0.8338  1 Au 2.47, 1 Ag 2.68
Br 0.7400 0.2600 0.2500  2 Au 2.50
Br 0.6386 0.6334 0.1162  2 Ag 2.64-2.66
Br 0.6896 0.9399 0.4287  1 Au 2.58, 1 Ag 2.67
Br 0.0601 0.3104 0.0713  1 Au 2.58, 1 Ag 2.67
Br 0.2852 0.9274 0.1662  1 Au 2.47, 1 Ag 2.68
Br 0.6334 0.6386 0.6162  2 Ag 2.64-2.66
Br 0.3104 0.0601 0.5713  1 Au 2.58, 1 Ag 2.67
Br 0.3614 0.3666 0.8838  2 Ag 2.64-2.66
Br 0.9274 0.2852 0.6662  1 Au 2.47, 1 Ag 2.68
Ag 0.2855 0.6323 0.0227  4 Br 2.64-2.68
Ag 0.3677 0.7145 0.4773  4 Br 2.64-2.68
Ag 0.6323 0.2855 0.5227  4 Br 2.64-2.68
Ag 0.7145 0.3677 0.9773  4 Br 2.64-2.68

Summary:
Total magnetization: 0.00 μB/cell
Energy relative to the lowest polymorph listed for this composition: 0.0 meV per atom
Formation energy without anion corrections: -1.666 eV/f.u.
Symmetry: C2/c

=====

Entry 2:
The following is a DFT calculation (PBE) of a relaxed structure of Li2HgMoIr.

Cell lengths 4.5392, 5.2174, 4.5392 Å; angles 90.00, 90.00, 90.00 degrees
Last column: nearest neighbours and their distance in Å.
Positions (direct):
Li 0.5000 0.0000 0.0000  2 Mo 2.27
Li 0.0000 0.0000 0.5000  2 Mo 2.27
Hg 0.0000 0.5000 0.0000  2 Mo 2.61
Ir 0.5000 0.5000 0.5000  4 Hg 3.21, 8 Li 3.46
Mo 0.0000 0.0000 0.0000  4 Li 2.27

Summary:
Total magnetization: 4.88 μB/cell
Formation energy: 1.820 eV per atom
Symmetry: P4/mmm

=====

Entry 3:
The following is a DFT calculation (PBE) of a relaxed structure of Al2CrNiPb.

Cell lengths 4.6199, 5.0168, 4.6199 Å; angles 90.00, 90.00, 90.00 degrees
Last column: nearest neighbours and their distance in Å.
Positions (direct):
Al 0.5000 0.0000 0.0000  2 Cr 2.31
Al 0.0000 0.0000 0.5000  2 Cr 2.31
Pb 0.0000 0.5000 0.0000  2 Cr 2.51
Ni 0.5000 0.5000 0.5000  4 Pb 3.27, 8 Al 3.41
Cr 0.0000 0.0000 0.0000  4 Al 2.31, 2 Pb 2.51

Summary:
Total magnetization: 0.00 μB/cell
Formation energy: 0.932 eV per atom
Symmetry: P4/mmm

=====

Entry 4:
The following is a DFT calculation (PBE) of a relaxed structure of Cs3Ce2PmS6.

Cell lengths 7.3725, 7.3725, 8.4345 Å; angles 98.38, 98.38, 120.00 degrees
Last column: nearest neighbours and their distance in Å.
Positions (direct):
Ce 0.3333 0.6667 0.0000  6 S 2.88
Ce 0.6667 0.3333 0.0000  6 S 2.88
S 0.2703 0.2703 0.8151  1 Pm 2.87, 2 Ce 2.88
S 0.6063 0.9383 0.8150  1 Pm 2.87, 2 Ce 2.88
S 0.3936 0.0617 0.1850  1 Pm 2.87, 2 Ce 2.88
S 0.0617 0.3936 0.1850  1 Pm 2.87, 2 Ce 2.88
S 0.7297 0.7297 0.1849  1 Pm 2.87, 2 Ce 2.88
S 0.9383 0.6063 0.8150  1 Pm 2.87, 2 Ce 2.88
Cs 0.5000 0.5000 0.5000  6 S 3.53-3.54
Cs 0.1663 0.8337 0.5000  6 S 3.53-3.54
Cs 0.8337 0.1663 0.5000  6 S 3.53-3.54
Pm 0.0000 0.0000 0.0000  6 S 2.87

Summary:
Total magnetization: 2.01 μB/cell
Formation energy without anion corrections: -21.269 eV/f.u.
Symmetry: C2/m